Dy2NCl | GGA-PBE | relaxed

```
data_Dy2NCl
_chemical_formula_sum 'Dy2 N1 Cl1'
_cell_length_a 3.539
_cell_length_b 3.539
_cell_length_c 7.111
_cell_angle_alpha 75.59
_cell_angle_beta 75.59
_cell_angle_gamma 60.00
_symmetry_space_group_name_H-M 'P 1'
_symmetry_Int_Tables_number 1
loop_
_symmetry_equiv_pos_as_xyz
'x,y,z'
loop_
_atom_site_label
_atom_site_type_symbol
_atom_site_fract_x
_atom_site_fract_y
_atom_site_fract_z
Cl1 Cl 0.498 0.498 0.505
Dy1 Dy 0.270 0.270 0.191
Dy2 Dy 0.061 0.061 0.817
N1 N 0.671 0.671 0.987
```

Properties
The value obtained for the uncorrected formation energy is -6.26 eV per formula unit. The mass density is 8.4 g/cm³. The crystal system is trigonal. For the density of states at the Fermi level, the calculation gives 0.6 states/eV/cell. Its space group is No. 160.